# 1
This record from Alexandria via LeMat-Bulk describes a geometry-optimized LiEuDy2 structure. The functional is PBE-GGA.

The value obtained for the formation energy is 214 meV per atom. The value obtained for the polymorph energy (0 for the lowest one) is 77.8 meV per atom. The calculation puts the mass density at 6.6 g cm⁻³.

a b c (Å): 5.569 5.569 3.939
angles (deg): 90.00 90.00 90.00
Fractional positions:
Li: 0.000 0.000 0.000
Eu: 0.500 0.500 0.000
Dy: 0.000 0.500 0.500
Dy: 0.500 0.000 0.500



# 2
This record from Alexandria via LeMat-Bulk describes a geometry-optimized LiGaPdPb structure. The functional is PBE-GGA.

The value obtained for the formation energy is -296 meV per atom. The calculation puts the mass density at 8.9 g cm⁻³.

a b c (Å): 6.632 6.632 6.632
angles (deg): 90.00 90.00 90.00
Fractional positions:
Li: 0.000 0.000 0.000
Li: 0.000 0.500 0.500
Li: 0.500 0.000 0.500
Li: 0.500 0.500 0.000
Ga: 0.250 0.250 0.750
Ga: 0.250 0.750 0.250
Ga: 0.750 0.250 0.250
Ga: 0.750 0.750 0.750
Pd: 0.000 0.000 0.500
Pd: 0.000 0.500 0.000
Pd: 0.500 0.000 0.000
Pd: 0.500 0.500 0.500
Pb: 0.250 0.250 0.250
Pb: 0.250 0.750 0.750
Pb: 0.750 0.250 0.750
Pb: 0.750 0.750 0.250



# 3
This record from Alexandria via LeMat-Bulk describes a geometry-optimized TlInPb structure. The functional is PBE-GGA.

The value obtained for the formation energy is 78 meV per atom. The value obtained for the polymorph energy (0 for the lowest one) is 68.4 meV per atom. The calculation puts the mass density at 8.7 g cm⁻³.

a b c (Å): 7.374 7.374 7.374
angles (deg): 90.00 90.00 90.00
Fractional positions:
Tl: 0.000 0.000 0.000
Tl: 0.000 0.500 0.500
Tl: 0.500 0.000 0.500
Tl: 0.500 0.500 0.000
In: 0.250 0.250 0.250
In: 0.250 0.750 0.750
In: 0.750 0.250 0.750
In: 0.750 0.750 0.250
Pb: 0.000 0.000 0.500
Pb: 0.000 0.500 0.000
Pb: 0.500 0.000 0.000
Pb: 0.500 0.500 0.500



# 4
This record from Alexandria via LeMat-Bulk describes a geometry-optimized Na2TlZnSb2 structure. The functional is PBE-GGA.

The uncorrected formation energy is -0.21 eV per atom. The calculation puts the mass density at 5.3 g cm⁻³.

a b c (Å): 8.809 8.809 8.809
angles (deg): 132.54 67.53 134.92
Fractional positions:
Na: 0.170 0.242 0.412
Na: 0.330 0.742 0.072
Na: 0.670 0.258 0.928
Na: 0.830 0.758 0.588
Tl: 0.250 0.750 0.500
Tl: 0.750 0.250 0.500
Zn: 0.250 0.250 0.000
Zn: 0.750 0.750 0.000
Sb: 0.114 0.789 0.903
Sb: 0.386 0.289 0.674
Sb: 0.614 0.711 0.326
Sb: 0.886 0.211 0.097



# 5
This record from Alexandria via LeMat-Bulk describes a geometry-optimized RbCo2P2 structure. The functional is PBE-GGA.

The value obtained for the formation energy is -51 meV per atom. The calculation puts the mass density at 4.4 g cm⁻³.

a b c (Å): 4.014 4.014 12.450
angles (deg): 90.00 90.00 90.00
Fractional positions:
Rb: 0.000 0.000 0.000
Rb: 0.500 0.500 0.500
Co: 0.000 0.000 0.325
Co: 0.000 0.000 0.675
Co: 0.500 0.500 0.175
Co: 0.500 0.500 0.825
P: 0.000 0.500 0.250
P: 0.000 0.500 0.750
P: 0.500 0.000 0.250
P: 0.500 0.000 0.750



# 6
This record from Alexandria via LeMat-Bulk describes a geometry-optimized Y5Ho12Er2 structure. The functional is PBE-GGA.

The value obtained for the formation energy is 119 meV per atom. The value obtained for the polymorph energy (0 for the lowest one) is 0.0 meV per atom. The calculation puts the mass density at 7.6 g cm⁻³.

a b c (Å): 5.990 9.673 11.166
angles (deg): 70.14 82.82 89.01
Fractional positions:
Y: 0.000 0.000 0.000
Y: 0.103 0.962 0.344
Y: 0.500 0.453 0.169
Y: 0.500 0.547 0.831
Y: 0.897 0.038 0.656
Ho: 0.040 0.686 0.655
Ho: 0.075 0.315 0.044
Ho: 0.162 0.318 0.727
Ho: 0.385 0.905 0.788
Ho: 0.426 0.818 0.105
Ho: 0.429 0.181 0.487
Ho: 0.571 0.819 0.513
Ho: 0.574 0.182 0.895
Ho: 0.615 0.095 0.212
Ho: 0.838 0.682 0.273
Ho: 0.925 0.685 0.956
Ho: 0.960 0.314 0.345
Er: 0.283 0.567 0.420
Er: 0.717 0.433 0.580



# 7
This record from Alexandria via LeMat-Bulk describes a geometry-optimized RbOsRh structure. The functional is PBE-GGA.

The value obtained for the formation energy is 478 meV per atom. The value obtained for the polymorph energy (0 for the lowest one) is 0.0 meV per atom. The calculation puts the mass density at 6.9 g cm⁻³.

a b c (Å): 4.238 4.238 11.660
angles (deg): 90.00 90.00 120.00
Fractional positions:
Rb: 0.333 0.667 0.308
Rb: 0.667 0.333 0.692
Os: 0.333 0.667 0.999
Os: 0.667 0.333 0.001
Rh: 0.000 0.000 0.112
Rh: 0.000 0.000 0.888



# 8
This record from Alexandria via LeMat-Bulk describes a geometry-optimized LaCd2Sn structure. The functional is PBE-GGA.

The value obtained for the formation energy is -237 meV per atom. The calculation puts the mass density at 6.7 g cm⁻³.

a b c (Å): 4.626 4.626 22.326
angles (deg): 90.00 90.00 90.00
Fractional positions:
La: 0.000 0.000 0.000
La: 0.000 0.500 0.250
La: 0.500 0.000 0.750
La: 0.500 0.500 0.500
Cd: 0.210 0.250 0.625
Cd: 0.250 0.710 0.875
Cd: 0.250 0.790 0.375
Cd: 0.290 0.250 0.125
Cd: 0.710 0.750 0.125
Cd: 0.750 0.210 0.375
Cd: 0.750 0.290 0.875
Cd: 0.790 0.750 0.625
Sn: 0.000 0.000 0.500
Sn: 0.000 0.500 0.750
Sn: 0.500 0.000 0.250
Sn: 0.500 0.500 0.000



# 9
This record from Alexandria via LeMat-Bulk describes a geometry-optimized K2SnBiO structure. The functional is PBE-GGA.

The uncorrected formation energy is -0.78 eV per atom. The calculation puts the mass density at 4.9 g cm⁻³.

a b c (Å): 7.893 4.211 9.250
angles (deg): 90.00 112.23 90.00
Fractional positions:
K: 0.043 0.250 0.343
K: 0.188 0.750 0.085
K: 0.812 0.250 0.915
K: 0.957 0.750 0.657
Sn: 0.374 0.250 0.855
Sn: 0.626 0.750 0.145
Bi: 0.436 0.750 0.622
Bi: 0.564 0.250 0.378
O: 0.119 0.250 0.862
O: 0.881 0.750 0.138



# 10
This record from Alexandria via LeMat-Bulk describes a geometry-optimized NdIn3Ir2 structure. The functional is PBE-GGA.

The value obtained for the formation energy is -305 meV per atom. The calculation puts the mass density at 10.8 g cm⁻³.

a b c (Å): 9.447 9.447 10.901
angles (deg): 109.66 109.66 26.14
Fractional positions:
Nd: 0.000 0.000 0.000
Nd: 0.165 0.165 0.695
Nd: 0.835 0.835 0.305
In: 0.037 0.037 0.337
In: 0.216 0.216 0.396
In: 0.327 0.327 0.044
In: 0.372 0.372 0.804
In: 0.500 0.500 0.500
In: 0.628 0.628 0.196
In: 0.673 0.673 0.956
In: 0.784 0.784 0.604
In: 0.963 0.963 0.663
Ir: 0.208 0.208 0.139
Ir: 0.367 0.367 0.546
Ir: 0.477 0.477 0.191
Ir: 0.523 0.523 0.809
Ir: 0.633 0.633 0.454
Ir: 0.792 0.792 0.861



# 11
This record from Alexandria via LeMat-Bulk describes a geometry-optimized Ge2OF structure. The functional is PBE-GGA.

The value obtained for the polymorph energy (0 for the lowest one) is 0.0 meV per atom. The uncorrected formation energy is -0.88 eV per atom. The calculation puts the mass density at 4.6 g cm⁻³.

a b c (Å): 3.173 3.173 22.168
angles (deg): 90.00 90.00 120.00
Fractional positions:
Ge: 0.000 0.000 0.082
Ge: 0.000 0.000 0.918
Ge: 0.333 0.667 0.585
Ge: 0.333 0.667 0.748
Ge: 0.667 0.333 0.252
Ge: 0.667 0.333 0.415
O: 0.000 0.000 0.000
O: 0.333 0.667 0.667
O: 0.667 0.333 0.333
F: 0.000 0.000 0.500
F: 0.333 0.667 0.167
F: 0.667 0.333 0.833



# 12
This record from Alexandria via LeMat-Bulk describes a geometry-optimized Hf2BeN structure. The functional is PBE-GGA.

The value obtained for the polymorph energy (0 for the lowest one) is 678.6 meV per atom. The uncorrected formation energy is -0.26 eV per atom. The calculation puts the mass density at 8.9 g cm⁻³.

a b c (Å): 5.414 5.414 9.686
angles (deg): 90.00 90.00 90.00
Fractional positions:
Hf: 0.187 0.250 0.125
Hf: 0.250 0.687 0.375
Hf: 0.250 0.813 0.875
Hf: 0.313 0.250 0.625
Hf: 0.687 0.750 0.625
Hf: 0.750 0.187 0.875
Hf: 0.750 0.313 0.375
Hf: 0.813 0.750 0.125
Be: 0.000 0.000 0.500
Be: 0.000 0.500 0.750
Be: 0.500 0.000 0.250
Be: 0.500 0.500 0.000
N: 0.000 0.000 0.000
N: 0.000 0.500 0.250
N: 0.500 0.000 0.750
N: 0.500 0.500 0.500